## PrU2Ni9 (GGA-PBE)

Data for a relaxed PrU2Ni9 crystal.

Cell and atoms, written as POSCAR:
```
PrU2Ni9
1.0
-2.865 3.126 2.493
-3.613 -1.722 2.859
3.019 0.147 8.136
Ni U Pr
9 2 1
direct
0.585 0.585 0.747 Ni
0.500 0.500 0.500 Ni
0.667 0.667 0.999 Ni
0.415 0.917 0.253 Ni
0.415 0.415 0.253 Ni
0.333 0.333 0.001 Ni
0.083 0.585 0.747 Ni
0.917 0.415 0.253 Ni
0.585 0.083 0.747 Ni
0.142 0.142 0.574 U
0.858 0.858 0.426 U
0.000 0.000 0.000 Pr
```

Values from the calculation:
formation energy from the elements = -0.270 eV/atom
VASP energy = -0.253 Ha/atom
Fermi-level density of states = 14.786 states/eV/cell
magnetic moment = 3.37 μB per formula unit

=====

## Mn2AlFe (GGA-PBE)

Data for a relaxed Mn2AlFe crystal.

Cell and atoms, written as POSCAR:
```
Mn2AlFe
1.0
-2.911 -2.557 0.937
1.736 -1.814 0.442
0.861 0.724 4.651
Mn Fe Al
2 1 1
direct
0.000 0.988 0.010 Mn
0.500 0.210 0.237 Mn
0.500 0.809 0.741 Fe
0.000 0.493 0.512 Al
```

Values from the calculation:
formation energy from the elements = -0.059 eV/atom
VASP energy = -0.283 Ha/atom
Fermi-level density of states = 3.914 states/eV/cell
magnetic moment = 1.51 μB per formula unit

=====

## AcBiI (GGA-PBE)

Data for a relaxed AcBiI crystal.

Cell and atoms, written as POSCAR:
```
AcBiI
1.0
5.294 0.000 0.000
-2.647 4.585 0.000
0.000 0.000 11.515
Ac Bi I
2 2 2
direct
0.000 0.000 0.822 Ac
0.000 0.000 0.178 Ac
0.667 0.333 0.013 Bi
0.333 0.667 0.987 Bi
0.667 0.333 0.661 I
0.333 0.667 0.339 I
```

Values from the calculation:
VASP energy = -0.150 Ha/atom
Fermi-level density of states = 1.367 states/eV/cell
magnetic moment = 0.00 μB per formula unit
energy above the most stable polymorph in this dataset = 0 meV per atom
energy relative to the elements, uncorrected = -2.71 eV/f.u.

=====

## Hg3Bi4Au4 (GGA-PBE)

Data for a relaxed Hg3Bi4Au4 crystal.

Cell and atoms, written as POSCAR:
```
Hg3Bi4Au4
1.0
-2.839 -2.027 3.730
-1.437 -3.388 -2.935
9.761 -8.564 -0.720
Hg Au Bi
3 4 4
direct
0.392 0.939 0.784 Hg
0.000 0.000 0.000 Hg
0.608 0.061 0.216 Hg
0.463 0.317 0.926 Au
0.537 0.683 0.074 Au
0.179 0.871 0.358 Au
0.821 0.129 0.642 Au
0.894 0.502 0.787 Bi
0.255 0.247 0.510 Bi
0.745 0.753 0.490 Bi
0.106 0.498 0.213 Bi
```

Values from the calculation:
formation energy from the elements = 0.038 eV/atom
VASP energy = -0.097 Ha/atom
Fermi-level density of states = 3.633 states/eV/cell
magnetic moment = 0.00 μB per formula unit

=====

## Y3TiBi (GGA-PBE)

Data for a relaxed Y3TiBi crystal.

Cell and atoms, written as POSCAR:
```
Y3TiBi
1.0
-3.398 4.033 -2.301
-2.938 0.340 4.935
3.595 4.090 1.859
Ti Y Bi
1 3 1
direct
0.500 0.500 0.500 Ti
0.500 0.000 0.000 Y
0.000 0.000 0.500 Y
0.000 0.500 0.000 Y
0.000 0.000 0.000 Bi
```

Values from the calculation:
formation energy from the elements = 0.615 eV/atom
VASP energy = -0.206 Ha/atom
Fermi-level density of states = 6.833 states/eV/cell
magnetic moment = 4.01 μB per formula unit
energy above the most stable polymorph in this dataset = 298 meV per atom

=====

## ScP2BrO (GGA-PBE)

Data for a relaxed ScP2BrO crystal.

Cell and atoms, written as POSCAR:
```
ScP2BrO
1.0
-4.970 -1.383 -0.878
1.498 -4.971 -0.649
-0.493 -0.646 3.805
P Sc O Br
2 1 1 1
direct
0.000 0.500 0.000 P
0.500 0.000 0.000 P
0.000 0.000 0.000 Sc
0.000 0.000 0.500 O
0.500 0.500 0.500 Br
```

Values from the calculation:
VASP energy = -0.180 Ha/atom
Fermi-level density of states = 2.878 states/eV/cell
magnetic moment = 0.00 μB per formula unit
energy above the most stable polymorph in this dataset = 0 meV per atom
energy relative to the elements, uncorrected = -0.75 eV/f.u.